Record 1
This record from Alexandria describes an optimized crystal structure of DyY2Zn6. The functional is PBE.

Cell: 7.7404 7.7404 3.5267 Å, 90.00 90.00 120.00°
Space group P6/mmm (No. 191)
One atom of each set of equivalent atoms:
Dy 0.0000 0.0000 0.0000
Y 0.3333 0.6667 0.0000
Zn 0.0000 0.3332 0.5000

Values from the calculation:
Crystal system: hexagonal

=====

Record 2
This record from Alexandria describes an optimized crystal structure of DyY2Zn2. The functional is PBE.

Cell: 7.389 7.389 4.649 Å, 90.00 90.00 90.00°
Space group P4/mbm (No. 127)
One atom of each set of equivalent atoms:
Dy 0.000 0.000 0.000
Y 0.171 0.329 0.500
Zn 0.122 0.622 0.000

Values from the calculation:
Crystal system: tetragonal
Offset from the most stable computed form: 0.13 eV/f.u.

=====

Record 3
This record from Alexandria describes an optimized crystal structure of DyYZr. The functional is PBE.

Cell: 3.357 5.030 10.161 Å, 90.00 99.41 90.00°
Space group P2_1/m (No. 11)
One atom of each set of equivalent atoms:
Dy 0.050 0.250 0.094
Y 0.370 0.250 0.742
Zr 0.214 0.250 0.426

Values from the calculation:
Crystal system: monoclinic
Offset from the most stable computed form: 0.19 eV/f.u.

=====

Formation energy values, unit eV/atom, following the record order: -0.3932, -0.2493, 0.1382.